Entry from Alexandria via LeMat-Bulk: crystalline Zr3Ga2Pt at its relaxed geometry (PBE).

Unit cell a=4.275 b=9.868 c=11.048 alpha=90.00 beta=90.00 gamma=90.00
Element x y z (fractional)
1 Zr 0.250 0.360 0.040
2 Zr 0.750 0.640 0.960
3 Zr 0.750 0.860 0.460
4 Zr 0.250 0.140 0.540
5 Zr 0.250 0.668 0.213
6 Zr 0.750 0.332 0.787
7 Zr 0.750 0.168 0.287
8 Zr 0.250 0.832 0.713
9 Zr 0.250 0.398 0.340
10 Zr 0.750 0.602 0.660
11 Zr 0.750 0.898 0.160
12 Zr 0.250 0.102 0.840
13 Ga 0.250 0.659 0.497
14 Ga 0.750 0.341 0.503
15 Ga 0.750 0.159 0.003
16 Ga 0.250 0.841 0.997
17 Ga 0.250 0.969 0.329
18 Ga 0.750 0.031 0.671
19 Ga 0.750 0.469 0.171
20 Ga 0.250 0.531 0.829
21 Pt 0.250 0.095 0.122
22 Pt 0.750 0.905 0.878
23 Pt 0.750 0.595 0.378
24 Pt 0.250 0.405 0.622

Computed properties:
The total energy comes out at -41.8 eV per formula unit. As for the space-group type: No. 62. The energy of formation comes out at -0.682 eV/atom. The value obtained for the density of states at the Fermi level is 12.53 states/eV per cell. The calculation puts the total magnetic moment at 0.000 μB per cell. For the calculated density, the calculation gives 8668 kg/m³.